First-principles (GGA-PBEsol) data for crystalline Mg2ScZn at its relaxed geometry, as listed in the Alexandria database.

Computed properties:
Density of states at the Fermi level   2.64 states/eV per cell
Formation energy   -0.120 eV/atom
Density   3.35 Mg/m³
E   -12.1 eV for the cell shown

Cell lengths 4.152, 4.152, 4.575 Å; angles 90.00, 90.00, 90.00 degrees
Fractional positions:
Sc 0.500 0.500 0.500
Zn 0.000 0.000 0.500
Mg 0.000 0.500 0.000
Mg 0.500 0.000 0.000

=====

First-principles (GGA-PBEsol) data for crystalline Mg2Te at its relaxed geometry, as listed in the Alexandria database.

Computed properties:
Density of states at the Fermi level   1.00 states/eV per cell
Density   3.14 Mg/m³
E   -7.3 eV for the cell shown
Energy relative to the elements, uncorrected   -0.106 eV/atom

Cell lengths 4.004, 4.004, 5.809 Å; angles 90.00, 90.00, 90.00 degrees
Fractional positions:
Mg 0.000 0.000 0.500
Mg 0.500 0.500 0.000
Te 0.000 0.000 0.000

=====

Repeat the first record exactly.
First-principles (GGA-PBEsol) data for crystalline Mg2ScZn at its relaxed geometry, as listed in the Alexandria database.

Computed properties:
Density of states at the Fermi level   2.64 states/eV per cell
Formation energy   -0.120 eV/atom
Density   3.35 Mg/m³
E   -12.1 eV for the cell shown

Cell lengths 4.152, 4.152, 4.575 Å; angles 90.00, 90.00, 90.00 degrees
Fractional positions:
Sc 0.500 0.500 0.500
Zn 0.000 0.000 0.500
Mg 0.000 0.500 0.000
Mg 0.500 0.000 0.000

=====

Question: What is the density in the first record?
Answer: 3.35 Mg/m³

=====

Question: Look up the density of states at the Fermi level of the first one.
Answer: 2.64 states/eV per cell